Material: Ba2LaAg
Method: DFT, PBE-GGA
State: optimized geometry

Lattice parameters (Å, degrees): 8.5442 8.5442 8.5442 90.00 90.00 90.00
Closest atoms and distances in Å follow each position.
Element x y z (fractional)
Ba 0.2500 0.2500 0.2500  4 La 3.70, 4 Ag 3.70
Ba 0.2500 0.2500 0.7500  4 La 3.70, 4 Ag 3.70
Ba 0.2500 0.7500 0.2500  4 La 3.70, 4 Ag 3.70
Ba 0.2500 0.7500 0.7500  4 La 3.70, 4 Ag 3.70
Ba 0.7500 0.2500 0.2500  4 La 3.70, 4 Ag 3.70
Ba 0.7500 0.2500 0.7500  4 La 3.70, 4 Ag 3.70
Ba 0.7500 0.7500 0.2500  4 La 3.70, 4 Ag 3.70
Ba 0.7500 0.7500 0.7500  4 La 3.70, 4 Ag 3.70
La 0.0000 0.0000 0.0000  8 Ba 3.70
La 0.0000 0.5000 0.5000  8 Ba 3.70
La 0.5000 0.0000 0.5000  8 Ba 3.70
La 0.5000 0.5000 0.0000  8 Ba 3.70
Ag 0.0000 0.0000 0.5000  8 Ba 3.70
Ag 0.0000 0.5000 0.0000  8 Ba 3.70
Ag 0.5000 0.0000 0.0000  8 Ba 3.70
Ag 0.5000 0.5000 0.5000  8 Ba 3.70

Results
Total DFT energy (no corrections) ... -2.63 eV per atom
Total magnetization ... 0.5 μB per formula unit
Space-group type ... Fm-3m (225)
Distance to the lowest polymorph of the same formula ... 1.32 eV/f.u.